Tb3Ho3Au4: relaxed, PBE.

Calculated values
Energy of formation from the pure elements, meV/atom: -702

Unit cell a=3.791 b=11.617 c=11.512 alpha=90.00 beta=90.00 gamma=90.00
Space group Amm2 (No. 38)
Inequivalent atoms, fractional coordinates:
Tb1 0.000 0.000 0.000 (multiplicity 2)
Tb2 0.000 0.163 0.339 (multiplicity 4)
Ho1 0.000 0.000 0.674 (multiplicity 2)
Ho2 0.500 0.250 0.089 (multiplicity 4)
Au1 0.500 0.000 0.205 (multiplicity 2)
Au2 0.500 0.000 0.472 (multiplicity 2)
Au3 0.500 0.132 0.836 (multiplicity 4)